Here is a geometry-optimized HfSc3In structure from Alexandria via LeMat-Bulk. Energies are from PBE.

Computed properties:
Formation enthalpy at 0 K: -87.2 kJ/mol of formula units
Relative energy among the computed polymorphs: 0 meV per atom

a = 5.6887 Å, b = 5.0559 Å, c = 8.3994 Å
α = 90.00°, β = 108.09°, γ = 90.00°
Space group P2_1/m (No. 11)
One atom of each set of equivalent atoms:
Hf  0.0093  0.2500  0.3949 [2 per cell]
Sc  0.1672  0.7500  0.9989 [2 per cell]
Sc  0.2483  0.2500  0.7837 [2 per cell]
Sc  0.3519  0.7500  0.4001 [2 per cell]
In  0.4177  0.2500  0.1942 [2 per cell]